TmSn2Pd | PBE-GGA | relaxed

Structure (POSCAR):
```
TmSn2Pd
1.0
3.397 0.000 0.000
0.000 3.397 0.000
0.000 0.000 7.607
Tm Sn Pd
1 2 1
direct
0.000 0.000 0.000
0.500 0.500 0.284
0.500 0.500 0.716
0.000 0.000 0.500
```

ΔE_f = -0.471 eV/atom